1.
4
Lattice="3.308 0.000 0.000 1.654 2.864 0.000 1.654 0.955 8.237" Properties=species:S:1:pos:R:3 comment="meta-GGA SCAN HfCBr2, PBEsol geometry" spacegroup="R-3m (166)" crystal_system=trigonal formation_energy_uncorrected_ev_per_atom=1.433 pbc="T T T"
Br 4.961 2.864 2.569
C 3.308 1.910 4.118
Br 1.654 0.955 5.668
Hf 0.000 0.000 0.000

2.
3
Lattice="4.171 0.000 0.000 2.086 3.613 0.000 2.086 1.204 3.406" Properties=species:S:1:pos:R:3 comment="meta-GGA SCAN CrTeW, PBEsol geometry" spacegroup="F-43m (216)" crystal_system=cubic formation_energy_uncorrected_ev_per_atom=0.396 pbc="T T T"
Cr 6.257 3.613 2.554
Te 0.000 0.000 0.000
W 4.171 2.408 1.703

3.
6
Lattice="3.870 0.000 0.000 0.000 3.870 0.000 -1.935 -1.935 10.384" Properties=species:S:1:pos:R:3 comment="meta-GGA SCAN LiSb2, PBEsol geometry" spacegroup="I4_1/amd (141)" crystal_system=tetragonal formation_energy_uncorrected_ev_per_atom=-0.092 pbc="T T T"
Sb 0.000 0.000 8.840
Li 0.000 1.935 5.192
Sb 1.935 1.935 1.543
Li 0.000 0.000 0.000
Sb 1.935 0.000 6.735
Sb 1.935 0.000 3.648

4.
5
Lattice="3.462 0.000 0.000 0.000 5.518 0.000 0.000 0.000 5.518" Properties=species:S:1:pos:R:3 comment="meta-GGA SCAN MnTlTe2N, PBEsol geometry" spacegroup="P4/mmm (123)" crystal_system=tetragonal formation_energy_uncorrected_ev_per_atom=0.014 pbc="T T T"
Te 0.000 0.000 2.759
N 1.731 0.000 0.000
Tl 1.731 2.759 2.759
Te 0.000 2.759 0.000
Mn 0.000 0.000 0.000

5.
4
Lattice="-1.104 -0.134 -4.180 2.663 -3.356 -0.596 -4.770 -4.032 1.389" Properties=species:S:1:pos:R:3 comment="meta-GGA SCAN TlTe2As, PBEsol geometry" spacegroup="P4mm (99)" crystal_system=tetragonal formation_energy_uncorrected_ev_per_atom=-0.030 pbc="T T T"
Te -0.746 -3.035 -1.943
As -3.599 -5.446 -1.112
Te -4.158 -3.515 1.211
Tl -1.862 -1.574 0.542

6.
4
Lattice="3.096 0.000 0.000 0.000 4.593 0.000 -1.548 -2.297 4.805" Properties=species:S:1:pos:R:3 comment="meta-GGA SCAN Li2TaPb, PBEsol geometry" spacegroup="Imm2 (44)" crystal_system=orthorhombic delta_e_f_kj_per_mol_fu=134 pbc="T T T"
Ta 0.000 2.297 2.455
Li 0.000 0.000 0.188
Pb 0.000 0.000 4.624
Li 1.548 0.000 2.342

7.
5
Lattice="5.115 0.000 0.000 0.000 5.115 0.000 0.000 0.000 5.115" Properties=species:S:1:pos:R:3 comment="meta-GGA SCAN HgGeSe3, PBEsol geometry" spacegroup="Pm-3m (221)" crystal_system=cubic formation_energy_uncorrected_ev_per_atom=0.743 pbc="T T T"
Se 2.558 0.000 0.000
Ge 2.558 2.558 2.558
Hg 0.000 0.000 0.000
Se 0.000 2.558 0.000
Se 0.000 0.000 2.558

8.
8
Lattice="-4.309 -2.449 1.655 3.580 -5.195 1.635 -1.028 4.747 4.346" Properties=species:S:1:pos:R:3 comment="meta-GGA SCAN NaLi3, PBEsol geometry" spacegroup="P6_3/mmc (194)" crystal_system=hexagonal delta_e_f_kj_per_mol_fu=13 pbc="T T T"
Li -0.836 0.068 2.048
Li -2.261 -2.730 2.447
Li -0.381 -5.458 3.305
Li -0.921 -2.965 5.587
Li -1.376 2.561 4.330
Li 0.504 -0.167 5.189
Na 0.967 -2.493 2.952
Na -2.724 -0.404 4.683

9.
5
Lattice="-1.383 -4.434 -2.078 3.729 -2.353 2.540 -4.337 -1.137 5.314" Properties=species:S:1:pos:R:3 comment="meta-GGA SCAN BaSnPSe2, PBEsol geometry" spacegroup="P4/mmm (123)" crystal_system=tetragonal formation_energy_uncorrected_ev_per_atom=0.152 pbc="T T T"
Ba -2.168 -0.569 2.657
P -0.995 -3.962 2.888
Se 1.864 -1.176 1.270
Sn 0.000 0.000 0.000
Se -0.691 -2.217 -1.039

10.
4
Lattice="-1.438 -1.193 -2.390 2.592 0.133 -1.626 0.796 -7.981 3.503" Properties=species:S:1:pos:R:3 comment="meta-GGA SCAN Re2SbBr, PBEsol geometry" spacegroup="Amm2 (38)" crystal_system=orthorhombic formation_energy_uncorrected_ev_per_atom=0.257 pbc="T T T"
Br 0.482 -5.140 0.349
Re 0.709 -2.682 0.912
Re 0.923 -1.841 -1.563
Sb 3.264 -7.379 1.717

11.
5
Lattice="3.639 0.000 0.000 0.000 3.639 0.000 0.000 0.000 8.032" Properties=species:S:1:pos:R:3 comment="meta-GGA SCAN BTePtN2, PBEsol geometry" spacegroup="P4/mmm (123)" crystal_system=tetragonal formation_energy_uncorrected_ev_per_atom=1.590 pbc="T T T"
Pt 0.000 0.000 0.000
B 1.819 1.819 4.016
N 1.819 0.000 0.000
Te 0.000 0.000 4.016
N 0.000 1.819 0.000

12.
5
Lattice="4.766 0.000 0.000 0.000 6.284 0.000 0.000 0.000 6.284" Properties=species:S:1:pos:R:3 comment="meta-GGA SCAN Cs2YZrIr, PBEsol geometry" spacegroup="P4/mmm (123)" crystal_system=tetragonal delta_e_f_kj_per_mol_fu=611 pbc="T T T"
Cs 0.000 3.142 0.000
Y 2.383 3.142 3.142
Zr 0.000 0.000 0.000
Ir 2.383 0.000 0.000
Cs 0.000 0.000 3.142

13.
5
Lattice="5.661 0.000 0.000 0.000 5.661 0.000 0.000 0.000 5.661" Properties=species:S:1:pos:R:3 comment="meta-GGA SCAN Ba3LiC, PBEsol geometry" spacegroup="Pm-3m (221)" crystal_system=cubic delta_e_f_kj_per_mol_fu=705 pbc="T T T"
Ba 2.830 0.000 0.000
Ba 0.000 2.830 0.000
Ba 0.000 0.000 2.830
C 2.830 2.830 2.830
Li 0.000 0.000 0.000

14.
5
Lattice="-2.815 2.468 2.702 -1.763 -4.029 1.844 3.344 0.092 3.399" Properties=species:S:1:pos:R:3 comment="meta-GGA SCAN Hf2TaReGe, PBEsol geometry" spacegroup="P4/mmm (123)" crystal_system=tetragonal delta_e_f_kj_per_mol_fu=506 pbc="T T T"
Ge 0.000 0.000 0.000
Ta -1.407 1.234 1.351
Hf -0.881 -2.014 0.922
Hf 1.672 0.046 1.699
Re -0.617 -0.734 3.972

15.
6
Lattice="-3.142 0.923 1.996 0.709 -3.974 2.954 2.052 4.402 1.194" Properties=species:S:1:pos:R:3 comment="meta-GGA SCAN CeAlNi4, PBEsol geometry" spacegroup="P-6m2 (187)" crystal_system=hexagonal delta_e_f_kj_per_mol_fu=-246 pbc="T T T"
Ni 0.377 0.074 4.244
Ce 1.605 1.610 1.781
Ni 1.157 -1.182 2.368
Ni -0.635 -2.097 3.655
Al 0.000 0.000 0.000
Ni -0.984 -0.138 2.198

16.
20
Lattice="5.881 0.003 0.010 2.943 5.148 0.024 2.959 1.666 9.591" Properties=species:S:1:pos:R:3 comment="meta-GGA SCAN Ba3SrCa2W2O12, PBEsol geometry" spacegroup="P1 (1)" crystal_system=triclinic formation_energy_uncorrected_ev_per_atom=-3.030 pbc="T T T"
W 8.844 5.112 7.196
O 4.127 0.699 1.281
O 1.432 1.034 1.434
O 7.732 6.142 8.385
O 6.182 1.463 5.980
O 3.046 3.225 1.233
W 2.941 1.708 2.429
Ca 5.875 3.411 4.846
Ba 5.913 3.407 8.413
O 5.754 5.367 3.680
O 7.653 2.709 3.603
O 4.000 3.937 6.047
Ba 8.823 5.137 3.631
Ba 5.875 3.415 1.225
O 10.440 5.739 8.104
O 7.242 4.631 6.230
Ca 2.965 1.663 9.564
O 4.476 2.374 3.389
Sr 2.896 1.636 5.937
O 8.687 3.624 8.419

17.
4
Lattice="3.065 0.000 0.023 0.000 4.804 0.000 -0.039 0.000 5.399" Properties=species:S:1:pos:R:3 comment="meta-GGA SCAN TaIn2As, PBEsol geometry" spacegroup="Pmmm (47)" crystal_system=orthorhombic delta_e_f_kj_per_mol_fu=132 pbc="T T T"
In -0.025 0.000 4.059
In 3.050 0.000 1.363
Ta 1.532 2.402 0.012
As 1.513 2.402 2.711

18.
5
Lattice="3.945 0.000 0.000 0.000 3.945 0.000 -1.973 -1.973 5.721" Properties=species:S:1:pos:R:3 comment="meta-GGA SCAN YTi2Si2, PBEsol geometry" spacegroup="I4/mmm (139)" crystal_system=tetragonal formation_energy_uncorrected_ev_per_atom=-0.722 pbc="T T T"
Ti 0.000 1.973 2.861
Si 1.973 1.973 1.191
Si 0.000 0.000 4.530
Ti 1.973 0.000 2.861
Y 0.000 0.000 0.000

19.
5
Lattice="4.807 0.000 0.000 0.000 4.807 0.000 0.000 0.000 4.807" Properties=species:S:1:pos:R:3 comment="meta-GGA SCAN LiInCu3, PBEsol geometry" spacegroup="Pm-3m (221)" crystal_system=cubic delta_e_f_kj_per_mol_fu=339 pbc="T T T"
Cu 0.000 0.000 2.404
Li 2.404 2.404 2.404
In 0.000 0.000 0.000
Cu 2.404 0.000 0.000
Cu 0.000 2.404 0.000

20.
3
Lattice="3.304 0.000 0.000 0.000 3.304 0.000 -1.652 -1.652 6.731" Properties=species:S:1:pos:R:3 comment="meta-GGA SCAN SiAsCl, PBEsol geometry" spacegroup="I4mm (107)" crystal_system=tetragonal formation_energy_uncorrected_ev_per_atom=-0.226 pbc="T T T"
Si 1.652 1.652 0.358
As 0.000 0.000 1.330
Cl 0.000 0.000 5.042

21.
4
Lattice="-3.650 1.747 0.800 -2.960 -2.175 1.876 -1.057 0.881 3.888" Properties=species:S:1:pos:R:3 comment="meta-GGA SCAN Ni2HgO, PBEsol geometry" spacegroup="Fm-3m (225)" crystal_system=cubic formation_energy_uncorrected_ev_per_atom=0.529 pbc="T T T"
Ni -1.917 0.113 1.641
O 0.000 0.000 0.000
Ni -5.751 0.339 4.923
Hg -3.834 0.226 3.282

22.
26
Lattice="-3.030 0.157 4.110 2.926 -5.363 2.363 6.002 5.054 4.038" Properties=species:S:1:pos:R:3 comment="meta-GGA SCAN Na3NiPCO7, PBEsol geometry" spacegroup="P2_1/m (11)" crystal_system=monoclinic formation_energy_uncorrected_ev_per_atom=-2.086 pbc="T T T"
O 0.388 -1.954 5.288
O 0.703 -0.986 1.430
Ni -0.702 -0.442 4.406
O 3.813 -1.859 4.677
C 4.741 -1.129 5.184
O 1.238 -3.711 3.663
Na 3.815 1.369 7.363
O 5.194 0.835 9.081
P 5.355 3.333 5.472
Ni 6.599 0.291 6.105
Na 3.513 -4.143 4.304
Na 2.384 3.992 6.207
O 4.409 3.820 4.334
Na 3.522 1.636 3.892
Na 2.082 -1.521 3.148
O 1.489 -3.971 6.177
P 0.542 -3.484 5.039
O 2.084 1.708 5.834
O 4.659 3.560 6.848
C 1.156 0.978 5.327
O 1.250 0.498 4.123
O 0.084 0.690 6.001
O 5.813 -0.841 4.510
O 5.509 1.803 5.223
O 4.648 -0.650 6.388
Na 2.375 -1.788 6.619

23.
5
Lattice="5.297 0.000 0.000 0.000 5.297 0.000 0.000 0.000 5.315" Properties=species:S:1:pos:R:3 comment="meta-GGA SCAN BaZrGa2Pt, PBEsol geometry" spacegroup="P4/mmm (123)" crystal_system=tetragonal delta_e_f_kj_per_mol_fu=950 pbc="T T T"
Pt 2.649 2.649 2.658
Ga 2.649 0.000 0.000
Ba 0.000 0.000 0.000
Ga 0.000 2.649 0.000
Zr 0.000 0.000 2.658

24.
8
Lattice="4.830 0.000 0.000 0.000 4.830 0.000 -2.415 -2.415 4.959" Properties=species:S:1:pos:R:3 comment="meta-GGA SCAN Ca3UN4, PBEsol geometry" spacegroup="I4/mmm (139)" crystal_system=tetragonal formation_energy_uncorrected_ev_per_atom=-1.502 pbc="T T T"
N 0.015 0.015 2.011
Ca 0.015 2.429 2.479
N 2.429 0.014 0.000
U 0.015 0.015 0.000
Ca 0.014 0.014 4.959
N 2.429 2.430 2.948
N 0.014 2.429 0.000
Ca 2.429 0.015 2.479

25.
5
Lattice="5.262 0.000 0.000 0.000 5.262 0.000 0.000 0.000 5.262" Properties=species:S:1:pos:R:3 comment="meta-GGA SCAN NbHg3Sb, PBEsol geometry" spacegroup="Pm-3m (221)" crystal_system=cubic formation_energy_uncorrected_ev_per_atom=0.853 pbc="T T T"
Sb 2.631 2.631 2.631
Hg 0.000 2.631 0.000
Hg 2.631 0.000 0.000
Nb 0.000 0.000 0.000
Hg 0.000 0.000 2.631

26.
18
Lattice="5.555 0.000 0.000 0.000 5.715 0.014 0.000 -1.897 8.650" Properties=species:S:1:pos:R:3 comment="meta-GGA SCAN HgI2O6, PBEsol geometry" spacegroup="P2_1 (4)" crystal_system=monoclinic formation_energy_uncorrected_ev_per_atom=-0.372 pbc="T T T"
Hg 0.934 0.815 7.172
O 5.510 1.859 5.010
I 1.056 3.322 4.941
O 5.502 4.110 2.699
O 4.739 1.085 2.199
O 2.680 4.995 2.957
O 4.565 0.138 8.027
I 0.797 5.096 1.354
I 3.834 0.496 3.724
O 4.993 4.773 0.148
O 2.733 1.958 3.654
O 1.962 2.733 6.466
O 2.216 -0.955 8.517
I 3.574 -1.278 7.311
Hg 3.712 3.003 1.492
O 1.788 3.680 0.637
O 2.724 -0.292 5.965
O 5.457 -1.178 5.707